No. 1
DFT (PBE) results for a geometry-optimized NdC structure.

a = 3.697 Å, b = 4.296 Å, c = 6.427 Å
α = 87.68°, β = 90.00°, γ = 115.49°
Fractional coordinates of all 4 atoms:
Nd: 0.362 0.724 0.278
Nd: 0.638 0.276 0.722
C: 0.078 0.157 0.450
C: 0.922 0.843 0.550

Total magnetization (Bohr magnetons per cell): 0.00
E above lowest polymorph (meV/atom): 0
VASP energy (eV per formula unit): -14.29

No. 2
DFT (PBE) results for a geometry-optimized Nd4Ni13C4 structure.

a = 3.938 Å, b = 8.482 Å, c = 8.482 Å
α = 90.94°, β = 90.00°, γ = 90.00°
Fractional coordinates of all 21 atoms:
Nd: 0.000 0.309 0.691
Nd: 0.000 0.691 0.309
Nd: 0.000 0.154 0.154
Nd: 0.000 0.846 0.846
Ni: 0.500 0.500 0.500
Ni: 0.500 0.934 0.284
Ni: 0.500 0.066 0.716
Ni: 0.500 0.716 0.066
Ni: 0.500 0.284 0.934
Ni: 0.000 0.000 0.500
Ni: 0.000 0.500 0.000
Ni: 0.500 0.210 0.429
Ni: 0.500 0.790 0.571
Ni: 0.500 0.571 0.790
Ni: 0.500 0.429 0.210
Ni: 0.000 0.379 0.379
Ni: 0.000 0.621 0.621
C: 0.500 0.000 0.500
C: 0.500 0.500 0.000
C: 0.500 0.944 0.056
C: 0.500 0.056 0.944

Total magnetization (Bohr magnetons per cell): 0.00
VASP energy (eV per formula unit): -136.87

No. 3
DFT (PBE) results for a geometry-optimized NdNi4C2 structure.

a = 3.495 Å, b = 3.487 Å, c = 7.014 Å
α = 104.39°, β = 90.00°, γ = 90.00°
Fractional coordinates of all 7 atoms:
Nd: 0.000 0.000 0.000
Ni: 0.500 0.820 0.641
Ni: 0.000 0.678 0.356
Ni: 0.500 0.180 0.359
Ni: 0.000 0.322 0.644
C: 0.500 0.619 0.239
C: 0.500 0.381 0.761

Total magnetization (Bohr magnetons per cell): 0.00
VASP energy (eV per formula unit): -46.60

No. 4
DFT (PBE) results for a geometry-optimized NdNi3C structure.

a = 4.951 Å, b = 5.685 Å, c = 5.685 Å
α = 120.02°, β = 90.00°, γ = 90.00°
Fractional coordinates of all 10 atoms:
Nd: 0.750 0.667 0.333
Nd: 0.250 0.333 0.667
Ni: 0.750 0.690 0.845
Ni: 0.250 0.845 0.690
Ni: 0.250 0.310 0.155
Ni: 0.750 0.155 0.310
Ni: 0.250 0.845 0.155
Ni: 0.750 0.155 0.845
C: 0.000 0.000 0.000
C: 0.500 0.000 0.000

Total magnetization (Bohr magnetons per cell): 0.00
VASP energy (eV per formula unit): -30.95

No. 5
DFT (PBE) results for a geometry-optimized Nd2Ni3C2 structure.

a = 3.531 Å, b = 5.190 Å, c = 6.400 Å
α = 113.68°, β = 90.00°, γ = 109.89°
Fractional coordinates of all 7 atoms:
Nd: 0.879 0.758 0.217
Nd: 0.121 0.242 0.783
Ni: 0.500 0.000 0.000
Ni: 0.663 0.326 0.405
Ni: 0.337 0.674 0.595
C: 0.823 0.647 0.734
C: 0.177 0.353 0.266

Total magnetization (Bohr magnetons per cell): 0.00
VASP energy (eV per formula unit): -44.77

No. 6
DFT (PBE) results for a geometry-optimized Nd2Ni5C structure.

a = 5.216 Å, b = 5.216 Å, c = 5.850 Å
α = 116.48°, β = 116.48°, γ = 90.00°
Fractional coordinates of all 8 atoms:
Nd: 0.277 0.777 0.555
Nd: 0.777 0.277 0.555
Ni: 0.776 0.268 0.044
Ni: 0.268 0.268 0.044
Ni: 0.776 0.776 0.044
Ni: 0.268 0.776 0.044
Ni: 0.704 0.704 0.407
C: 0.930 0.930 0.861

Total magnetization (Bohr magnetons per cell): 0.00
VASP energy (eV per formula unit): -48.59

No. 7
DFT (PBE) results for a geometry-optimized NdNiC2 structure.

a = 3.805 Å, b = 3.805 Å, c = 3.844 Å
α = 90.00°, β = 90.00°, γ = 106.64°
Fractional coordinates of all 4 atoms:
Ni: 0.384 0.616 0.500
C: 0.545 0.155 0.500
C: 0.845 0.455 0.500
Nd: 0.997 0.003 0.000

Total magnetization (Bohr magnetons per cell): 0.00
VASP energy (eV per formula unit): -30.02

No. 8
DFT (PBE) results for a geometry-optimized Nd2NiC structure.

a = 3.784 Å, b = 3.784 Å, c = 7.157 Å
α = 74.67°, β = 74.67°, γ = 60.00°
Fractional coordinates of all 4 atoms:
Ni: 0.000 0.000 0.000
C: 0.500 0.500 0.500
Nd: 0.763 0.763 0.712
Nd: 0.237 0.237 0.288

Total magnetization (Bohr magnetons per cell): 0.00
VASP energy (eV per formula unit): -24.52